VASP calculation (PBE) on an optimized crystal structure of Tm2HgAs.

Symmetry: No. 166
ΔE_f (eV per atom): -0.89
Magnetization (μB per formula unit): 0.00
DOS(E_F) (states/eV/cell): 3.09

a = 3.929 Å, b = 3.929 Å, c = 7.991 Å
α = 75.77°, β = 75.77°, γ = 60.00°
Element x y z (fractional)
Tm (0.261, 0.261, 0.218)
Hg (0.500, 0.500, 0.500)
Tm (0.739, 0.739, 0.782)
As (0.000, 0.000, 0.000)

VASP calculation (PBE) on an optimized crystal structure of UHgAs.

Symmetry: No. 129
ΔE_f (eV per atom): -0.28
Magnetization (μB per formula unit): 2.72
DOS(E_F) (states/eV/cell): 7.34

a = 3.946 Å, b = 3.946 Å, c = 10.427 Å
α = 90.00°, β = 90.00°, γ = 90.00°
Each line ends with the local moment (μB).
Element x y z (fractional)
Hg (0.500, 0.000, 0.083)  -0.01
U (0.000, 0.500, 0.606)  2.42
U (0.500, 0.000, 0.394)  2.42
As (0.000, 0.500, 0.323)  -0.09
As (0.500, 0.000, 0.677)  -0.09
Hg (0.000, 0.500, 0.917)  -0.01

VASP calculation (PBE) on an optimized crystal structure of V2HgAs.

Symmetry: No. 122
ΔE_f (eV per atom): 0.57
Magnetization (μB per formula unit): 0.00
ΔE to the lowest computed polymorph (eV/atom): 0.270
DOS(E_F) (states/eV/cell): 9.16

a = 3.893 Å, b = 3.893 Å, c = 9.765 Å
α = 78.50°, β = 78.50°, γ = 90.00°
Element x y z (fractional)
V (0.375, 0.420, 0.750)
Hg (0.000, 0.000, 0.000)
As (0.500, 0.500, 0.000)
As (0.250, 0.750, 0.500)
V (0.580, 0.125, 0.250)
V (0.875, 0.830, 0.750)
Hg (0.750, 0.250, 0.500)
V (0.170, 0.625, 0.250)

VASP calculation (PBE) on an optimized crystal structure of VHgAs2.

Symmetry: No. 166
ΔE_f (eV per atom): -0.12
Magnetization (μB per formula unit): 0.00
DOS(E_F) (states/eV/cell): 3.02

a = 3.213 Å, b = 3.213 Å, c = 9.050 Å
α = 79.78°, β = 79.78°, γ = 60.00°
Element x y z (fractional)
As (0.104, 0.104, 0.688)
V (0.500, 0.500, 0.500)
As (0.896, 0.896, 0.312)
Hg (0.000, 0.000, 0.000)

VASP calculation (PBE) on an optimized crystal structure of VHgAs2.

Symmetry: No. 122
ΔE_f (eV per atom): 0.15
Magnetization (μB per formula unit): 0.99
DOS(E_F) (states/eV/cell): 5.58

a = 5.951 Å, b = 5.951 Å, c = 7.165 Å
α = 65.46°, β = 65.46°, γ = 90.00°
Each line ends with the local moment (μB).
Element x y z (fractional)
As (0.875, 0.827, 0.750)  -0.10
V (0.250, 0.750, 0.500)  1.18
As (0.577, 0.125, 0.250)  -0.10
V (0.500, 0.500, 0.000)  1.18
As (0.375, 0.423, 0.750)  -0.10
Hg (0.000, 0.000, 0.000)  0.00
As (0.173, 0.625, 0.250)  -0.10
Hg (0.750, 0.250, 0.500)  0.00

VASP calculation (PBE) on an optimized crystal structure of VHgAs3.

Symmetry: No. 221
ΔE_f (eV per atom): 0.19
Magnetization (μB per formula unit): 0.00
ΔE to the lowest computed polymorph (eV/atom): 0.000
DOS(E_F) (states/eV/cell): 3.08

a = 4.791 Å, b = 4.791 Å, c = 4.791 Å
α = 90.00°, β = 90.00°, γ = 90.00°
Element x y z (fractional)
As (0.500, 0.000, 0.000)
As (0.000, 0.500, 0.000)
As (0.000, 0.000, 0.500)
Hg (0.500, 0.500, 0.500)
V (0.000, 0.000, 0.000)

VASP calculation (PBE) on an optimized crystal structure of V2HgAs.

Symmetry: No. 225
ΔE_f (eV per atom): 0.30
Magnetization (μB per formula unit): 1.71
ΔE to the lowest computed polymorph (eV/atom): 0.000
DOS(E_F) (states/eV/cell): 4.20

a = 4.490 Å, b = 4.490 Å, c = 4.490 Å
α = 60.00°, β = 60.00°, γ = 60.00°
Each line ends with the local moment (μB).
Element x y z (fractional)
Hg (0.500, 0.500, 0.500)  0.03
V (0.750, 0.750, 0.750)  0.75
V (0.250, 0.250, 0.250)  0.75
As (0.000, 0.000, 0.000)  -0.02

VASP calculation (PBE) on an optimized crystal structure of VHg2As.

Symmetry: No. 122
ΔE_f (eV per atom): 0.42
Magnetization (μB per formula unit): 2.11
DOS(E_F) (states/eV/cell): 7.05

a = 8.018 Å, b = 8.018 Å, c = 6.273 Å
α = 50.27°, β = 50.27°, γ = 90.00°
Each line ends with the local moment (μB).
Element x y z (fractional)
V (0.250, 0.750, 0.500)  2.19
Hg (0.118, 0.625, 0.250)  -0.04
Hg (0.632, 0.125, 0.250)  -0.04
Hg (0.875, 0.882, 0.750)  -0.04
Hg (0.375, 0.368, 0.750)  -0.04
As (0.000, 0.000, 0.000)  -0.17
V (0.500, 0.500, 0.000)  2.19
As (0.750, 0.250, 0.500)  -0.17

VASP calculation (PBE) on an optimized crystal structure of HgAs2W.

Symmetry: No. 35
ΔE_f (eV per atom): 0.53
Magnetization (μB per formula unit): 0.00
DOS(E_F) (states/eV/cell): 2.65

a = 2.945 Å, b = 2.945 Å, c = 10.134 Å
α = 90.00°, β = 90.00°, γ = 111.92°
Element x y z (fractional)
As (0.000, 0.000, 0.948)
As (0.500, 0.500, 0.277)
Hg (0.000, 0.000, 0.516)
W (0.500, 0.500, 0.759)

VASP calculation (PBE) on an optimized crystal structure of HgAsW2.

Symmetry: No. 71
ΔE_f (eV per atom): 0.70
Magnetization (μB per formula unit): 0.00
ΔE to the lowest computed polymorph (eV/atom): 0.308
DOS(E_F) (states/eV/cell): 2.53

a = 5.398 Å, b = 5.398 Å, c = 5.398 Å
α = 145.95°, β = 127.31°, γ = 64.24°
Element x y z (fractional)
W (0.969, 0.969, 0.000)
W (0.531, 0.531, 0.000)
As (0.750, 0.250, 0.500)
Hg (0.250, 0.750, 0.500)

Q: magnetization of number 3 (V2HgAs)?
A: 0.00 μB per formula unit